## Mn2Pt3Au2 (GGA-PBE)

Data for an optimized crystal structure of Mn2Pt3Au2.

* energy relative to the elements: -0.95 eV/f.u.

Lattice parameters (Å, degrees): 4.4015 4.4232 7.5383 89.87 106.97 119.84
Closest atoms and distances in Å follow each position.
Fractional positions:
Mn  0.2271  0.6130  0.8412  7 Pt 2.58-2.79
Mn  0.7729  0.3870  0.1588  7 Pt 2.58-2.79
Pt  0.4776  0.7405  0.2147  4 Mn 2.58-2.65, 4 Au 2.77-2.86
Pt  0.5224  0.2595  0.7853  4 Mn 2.58-2.65, 4 Au 2.77-2.86
Pt  0.0000  0.0000  0.0000  6 Mn 2.79, 2 Au 2.81, 6 Pt 2.96-2.99
Au  0.2656  0.1354  0.3959  5 Pt 2.77-2.86, 3 Au 2.94-2.95, 3 Mn 3.04-3.08
Au  0.7344  0.8646  0.6041  5 Pt 2.77-2.86, 3 Au 2.94-2.95, 3 Mn 3.04-3.08

---

## NdTlGa (GGA-PBE)

Data for an optimized crystal structure of NdTlGa.

* energy above the lowest structure with this stoichiometry: 209 meV per atom
* energy relative to the elements: -0.60 eV/f.u.

Lattice parameters (Å, degrees): 6.9642 6.9642 8.6234 104.16 104.16 113.20
Closest atoms and distances in Å follow each position.
Fractional positions:
Nd  0.3140  0.3140  0.6279  4 Ga 3.14, 4 Tl 3.36-3.40
Nd  0.9360  0.4360  0.8721  4 Ga 3.14, 4 Tl 3.36-3.40
Nd  0.6860  0.6860  0.3721  4 Ga 3.14, 4 Tl 3.36-3.40
Nd  0.5640  0.0640  0.1279  4 Ga 3.14, 4 Tl 3.36-3.40
Ga  0.3349  0.3349  0.0000  1 Ga 2.53
Ga  0.6651  0.6651  0.0000  1 Ga 2.53
Ga  0.9151  0.4151  0.5000  1 Ga 2.53
Ga  0.5849  0.0849  0.5000  1 Ga 2.53
Tl  0.6250  0.8750  0.7500  2 Ga 2.90
Tl  0.1250  0.3750  0.2500  2 Ga 2.90
Tl  0.1250  0.8750  0.2500  2 Ga 2.90
Tl  0.1250  0.8750  0.7500  2 Ga 2.90

---

## Y2CrIr (GGA-PBE)

Data for an optimized crystal structure of Y2CrIr.

* energy relative to the elements: -0.14 eV/f.u.

Lattice parameters (Å, degrees): 5.7921 5.7921 5.7921 138.16 138.16 60.66
Closest atoms and distances in Å follow each position.
Fractional positions:
Ir  0.7500  0.2500  0.5000  8 Y 2.92-3.24, 4 Cr 3.24
Y  0.0000  0.0000  0.0000  4 Cr 2.92, 4 Ir 3.24, 4 Y 3.24
Y  0.2500  0.7500  0.5000  4 Ir 2.92, 4 Cr 3.24, 4 Y 3.24
Cr  0.5000  0.5000  0.0000  8 Y 2.92-3.24, 4 Ir 3.24

---

## BaHgSe2 (GGA-PBE)

Data for an optimized crystal structure of BaHgSe2.

* formation energy from raw total energies: -1.15 eV/atom

Lattice parameters (Å, degrees): 7.7201 4.4489 7.7214 90.00 80.71 89.99
Closest atoms and distances in Å follow each position.
Fractional positions:
Se  0.9681  0.1317  0.8131  1 Hg 2.52
Se  0.5408  0.1315  0.3859  1 Hg 2.52
Se  0.0649  0.1316  0.2889  1 Hg 2.61
Se  0.4760  0.6313  0.8779  2 Hg 2.68
Ba  0.2288  0.6315  0.5463  7 Se 3.36-3.45
Ba  0.8076  0.6318  0.1250  7 Se 3.36-3.45
Hg  0.7404  0.1319  0.6135  2 Se 2.52
Hg  0.3261  0.1314  0.0279  3 Se 2.61-2.68

---

| no. | Fermi-level density of states (states/eV/cell) | magnetization (μB per formula unit) | E (eV/atom) |
| --- | --- | --- | --- |
| 1 | 3.39 | 8.81 | -6.28 |
| 2 | 10.33 | 0.00 | -3.59 |
| 3 | 2.71 | 3.85 | -7.89 |
| 4 | 0.00 | 0.00 | -3.45 |